Compound: Ba2TaBiO6
Source: Alexandria
Functional: meta-GGA SCAN
Structure: single point on PBEsol structure

a = 6.0168 Å, b = 6.0168 Å, c = 6.0168 Å
α = 60.77°, β = 60.77°, γ = 60.77°
Closest atoms and distances in Å follow each position.
Fractional coordinates of all 10 atoms:
Ba1 0.2487 0.2487 0.2487  6 O 2.71-2.98
Ba2 0.7513 0.7513 0.7513  6 O 2.71-2.98
Ta1 0.0000 0.0000 0.0000  6 O 2.00
Bi1 0.5000 0.5000 0.5000  6 O 2.34
O1 0.1745 0.7748 0.2852  1 Ta 2.00
O2 0.2252 0.7148 0.8255  1 Ta 2.00
O3 0.2852 0.1745 0.7748  1 Ta 2.00
O4 0.7148 0.8255 0.2252  1 Ta 2.00
O5 0.7748 0.2852 0.1745  1 Ta 2.00
O6 0.8255 0.2252 0.7148  1 Ta 2.00

Summary:
The final energy comes out at -288.76 eV per cell. The total magnetization is 0.000 μB per cell. The energy relative to the elements, uncorrected is -2.71 eV per atom. Its space group is R-3 (148). As for the density of states at the Fermi level: 0.0 states/eV/f.u.